[1]
A plane-wave DFT calculation with PBE-GGA was carried out for a relaxed structure of Nb6VMo12.

Output
The calculation puts the total energy at -10.130 eV per atom. As for the density of states at the Fermi level: 18.2 states/eV/cell. The calculation puts the formation energy from the elements at 7.04 eV/f.u.

Structure (POSCAR):
```
Nb6VMo12
1.0
-2.5053 -0.1157 -6.5815
-0.4307 -6.8473 1.5922
-5.6651 2.4091 3.4219
Nb V Mo
6 1 12
direct
0.8870 0.3331 0.8870 Nb
0.8870 0.8870 0.3331 Nb
0.3331 0.8870 0.8870 Nb
0.1130 0.1130 0.6669 Nb
0.1130 0.6669 0.1130 Nb
0.6669 0.1130 0.1130 Nb
0.0000 0.0000 0.0000 V
0.7574 0.2426 0.5000 Mo
0.3213 0.0740 0.3213 Mo
0.3213 0.3213 0.0740 Mo
0.9260 0.6787 0.6787 Mo
0.6787 0.6787 0.9260 Mo
0.6787 0.9260 0.6787 Mo
0.5000 0.7574 0.2426 Mo
0.2426 0.5000 0.7574 Mo
0.2426 0.7574 0.5000 Mo
0.5000 0.2426 0.7574 Mo
0.7574 0.5000 0.2426 Mo
0.0740 0.3213 0.3213 Mo
```



[2]
A plane-wave DFT calculation with PBE-GGA was carried out for a relaxed structure of K2FeCl.

Output
The calculation puts the distance to the lowest polymorph of the same formula at 0 kJ/mol of formula units. The calculation puts the total energy at -3.286 eV per atom. The calculation puts the raw formation energy at -160.4 meV per atom. As for the density of states at the Fermi level: 2.3 states/eV/cell.

Structure (POSCAR):
```
K2FeCl
1.0
3.7208 0.0000 0.0000
0.0000 3.7063 -0.0022
0.0000 3.7127 8.7331
K Fe Cl
2 1 1
direct
0.0000 0.9678 0.0321 K
0.0000 0.5322 0.4679 K
0.5000 0.7500 0.7500 Fe
0.5000 0.2500 0.2500 Cl
```